VASP calculation (PBE) on a geometry-optimized Zr3CdC structure. Values from VASP.

## Properties
The offset from the most stable computed form comes out at 370 meV per atom.

```
&SYSTEM
  ibrav = 0, nat = 20, ntyp = 3
/
ATOMIC_SPECIES
Zr 91.22 Zr.upf
Cd 112.41 Cd.upf
C 12.01 C.upf
ATOMIC_POSITIONS crystal
Zr 0.063 0.063 0.687
Zr 0.063 0.687 0.063
Zr 0.063 0.687 0.687
Zr 0.313 0.313 0.937
Zr 0.313 0.937 0.313
Zr 0.313 0.937 0.937
Zr 0.687 0.063 0.063
Zr 0.687 0.063 0.687
Zr 0.687 0.687 0.063
Zr 0.937 0.313 0.313
Zr 0.937 0.313 0.937
Zr 0.937 0.937 0.313
Cd 0.000 0.500 0.500
Cd 0.500 0.000 0.500
Cd 0.500 0.500 0.000
Cd 0.500 0.500 0.500
C 0.000 0.000 0.000
C 0.000 0.000 0.500
C 0.000 0.500 0.000
C 0.500 0.000 0.000
CELL_PARAMETERS angstrom
0.000 6.082 6.082
6.082 0.000 6.082
6.082 6.082 0.000
```



VASP calculation (PBE) on a geometry-optimized FeB2Pt structure. Values from VASP.

## Properties
The offset from the most stable computed form comes out at 146 meV per atom.

```
&SYSTEM
  ibrav = 0, nat = 8, ntyp = 3
/
ATOMIC_SPECIES
Fe 55.84 Fe.upf
B 10.81 B.upf
Pt 195.08 Pt.upf
ATOMIC_POSITIONS crystal
Fe 0.000 0.000 0.000
Fe 0.750 0.250 0.500
B 0.099 0.625 0.974
B 0.375 0.349 0.474
B 0.651 0.125 0.026
B 0.875 0.901 0.526
Pt 0.250 0.750 0.500
Pt 0.500 0.500 0.000
CELL_PARAMETERS angstrom
-2.296 2.296 4.621
2.296 -2.296 4.621
2.296 2.296 -4.621
```



VASP calculation (PBE) on a geometry-optimized AcCe2Pd9 structure. Values from VASP.

```
&SYSTEM
  ibrav = 0, nat = 12, ntyp = 3
/
ATOMIC_SPECIES
Ac 227.00 Ac.upf
Ce 140.12 Ce.upf
Pd 106.42 Pd.upf
ATOMIC_POSITIONS crystal
Ac 0.000 0.000 0.000
Ce 0.000 0.000 0.336
Ce 0.000 0.000 0.664
Pd 0.000 0.500 0.178
Pd 0.000 0.500 0.500
Pd 0.000 0.500 0.822
Pd 0.500 0.000 0.178
Pd 0.500 0.000 0.500
Pd 0.500 0.000 0.822
Pd 0.500 0.500 0.000
Pd 0.500 0.500 0.338
Pd 0.500 0.500 0.662
CELL_PARAMETERS angstrom
4.210 0.000 0.000
0.000 4.210 0.000
0.000 0.000 12.624
```



VASP calculation (PBE) on a geometry-optimized YEr3Pb2 structure. Values from VASP.

## Properties
The offset from the most stable computed form comes out at 0 meV per atom.

```
&SYSTEM
  ibrav = 0, nat = 6, ntyp = 3
/
ATOMIC_SPECIES
Y 88.91 Y.upf
Er 167.26 Er.upf
Pb 207.20 Pb.upf
ATOMIC_POSITIONS crystal
Y 0.000 0.000 0.000
Er 0.000 0.500 0.340
Er 0.500 0.000 0.660
Er 0.500 0.500 0.000
Pb 0.000 0.500 0.714
Pb 0.500 0.000 0.286
CELL_PARAMETERS angstrom
4.548 0.000 0.000
0.000 4.548 0.000
0.000 0.000 8.478
```



VASP calculation (PBE) on a geometry-optimized Li2PrAs2 structure. Values from VASP.

## Properties
The offset from the most stable computed form comes out at 0 meV per atom.

```
&SYSTEM
  ibrav = 0, nat = 10, ntyp = 3
/
ATOMIC_SPECIES
Li 6.94 Li.upf
Pr 140.91 Pr.upf
As 74.92 As.upf
ATOMIC_POSITIONS crystal
Li 0.250 0.250 0.118
Li 0.250 0.750 0.500
Li 0.750 0.250 0.500
Li 0.750 0.750 0.882
Pr 0.250 0.250 0.767
Pr 0.750 0.750 0.233
As 0.250 0.250 0.353
As 0.250 0.750 0.000
As 0.750 0.250 0.000
As 0.750 0.750 0.647
CELL_PARAMETERS angstrom
4.334 0.000 0.000
0.000 4.334 0.000
0.000 0.000 10.305
```



VASP calculation (PBE) on a geometry-optimized Cd3In3Hg10 structure. Values from VASP.

```
&SYSTEM
  ibrav = 0, nat = 16, ntyp = 3
/
ATOMIC_SPECIES
Cd 112.41 Cd.upf
In 114.82 In.upf
Hg 200.59 Hg.upf
ATOMIC_POSITIONS crystal
Cd 0.000 0.597 0.000
Cd 0.403 0.403 0.000
Cd 0.597 0.000 0.000
In 0.000 0.416 0.500
In 0.416 0.000 0.500
In 0.584 0.584 0.500
Hg 0.000 0.221 0.000
Hg 0.000 0.787 0.500
Hg 0.213 0.213 0.500
Hg 0.221 0.000 0.000
Hg 0.333 0.667 0.243
Hg 0.333 0.667 0.757
Hg 0.667 0.333 0.243
Hg 0.667 0.333 0.757
Hg 0.779 0.779 0.000
Hg 0.787 0.000 0.500
CELL_PARAMETERS angstrom
8.725 0.000 0.000
-4.363 7.556 0.000
0.000 0.000 6.451
```



VASP calculation (PBE) on a geometry-optimized LiCa2Zn structure. Values from VASP.

```
&SYSTEM
  ibrav = 0, nat = 4, ntyp = 3
/
ATOMIC_SPECIES
Li 6.94 Li.upf
Ca 40.08 Ca.upf
Zn 65.41 Zn.upf
ATOMIC_POSITIONS crystal
Li 0.000 0.000 0.000
Ca 0.000 0.500 0.500
Ca 0.500 0.000 0.500
Zn 0.500 0.500 0.000
CELL_PARAMETERS angstrom
3.783 -3.787 0.000
3.783 3.787 0.000
0.000 0.000 3.787
```



VASP calculation (PBE) on a geometry-optimized Rb10Au4I structure. Values from VASP.

## Properties
As for the uncorrected formation energy: -314 meV/atom.

```
&SYSTEM
  ibrav = 0, nat = 15, ntyp = 3
/
ATOMIC_SPECIES
Rb 85.47 Rb.upf
Au 196.97 Au.upf
I 126.90 I.upf
ATOMIC_POSITIONS crystal
Rb 0.048 0.048 0.048
Rb 0.145 0.145 0.145
Rb 0.253 0.253 0.253
Rb 0.350 0.350 0.350
Rb 0.443 0.443 0.443
Rb 0.557 0.557 0.557
Rb 0.650 0.650 0.650
Rb 0.747 0.747 0.747
Rb 0.855 0.855 0.855
Rb 0.952 0.952 0.952
Au 0.097 0.097 0.097
Au 0.301 0.301 0.301
Au 0.699 0.699 0.699
Au 0.903 0.903 0.903
I 0.500 0.500 0.500
CELL_PARAMETERS angstrom
3.025 1.747 24.673
-3.025 1.747 24.673
0.000 -3.493 24.673
```



no.,raw total energy (Ha/atom)
1,-0.265
2,-0.242
3,-0.221
4,-0.184
5,-0.165
6,-0.031
7,-0.070
8,-0.071